Entry 1:
The following is a PBE-GGA calculation of a geometry-optimized Rb4Na3Au2 structure, from Alexandria via LeMat-Bulk.

Cell lengths 5.101, 8.661, 9.988 Å; angles 107.59, 104.79, 90.00 degrees
Atoms (fractional coordinates):
Rb1 0.578 0.846 0.156
Na1 0.000 0.500 0.000
Au1 0.600 0.441 0.200
Rb2 0.230 0.683 0.460
Au2 0.400 0.559 0.800
Rb3 0.770 0.317 0.540
Na2 0.095 0.236 0.191
Na3 0.905 0.764 0.809
Rb4 0.422 0.154 0.844

Values from the calculation:
**VASP energy**: -1.733 eV/atom
**Density of states at the Fermi level**: 0.499 states/eV/atom
**Spin magnetization**: 0.00 μB/atom
**Symmetry**: C2/m

Entry 2:
The following is a PBE-GGA calculation of a geometry-optimized Mo5Au structure, from Alexandria via LeMat-Bulk.

Cell lengths 3.308, 4.424, 6.971 Å; angles 108.50, 90.00, 90.00 degrees
Atoms (fractional coordinates):
Mo1 0.500 0.500 0.000
Mo2 0.500 0.173 0.347
Au1 0.000 0.000 0.000
Mo3 0.500 0.827 0.653
Mo4 0.000 0.339 0.678
Mo5 0.000 0.661 0.322

Values from the calculation:
**VASP energy**: -9.383 eV/atom
**Density of states at the Fermi level**: 0.860 states/eV/atom
**Spin magnetization**: 0.00 μB/atom
**Symmetry**: Cmmm
**Energy above the lowest structure with this stoichiometry**: 0.00 eV per formula unit

Entry 3:
The following is a PBE-GGA calculation of a geometry-optimized Sr2AcHgO4 structure, from Alexandria via LeMat-Bulk.

Cell lengths 5.152, 5.152, 6.731 Å; angles 112.50, 112.50, 90.00 degrees
Atoms (fractional coordinates):
Ac1 0.937 0.937 0.000
O1 0.719 0.719 0.564
O2 0.155 0.155 0.436
O3 0.437 0.937 0.000
Hg1 0.437 0.437 0.000
O4 0.937 0.437 0.000
Sr1 0.187 0.687 0.500
Sr2 0.687 0.187 0.500

Values from the calculation:
**VASP energy**: -5.788 eV/atom
**Density of states at the Fermi level**: 0.215 states/eV/atom
**Spin magnetization**: 0.00 μB/atom
**Symmetry**: I4/mmm
**Raw formation energy**: -225.5 kJ per mole of atoms

Look up the spin magnetization of the second one.
0.00 μB/atom

VASP energy of number 2 (Mo5Au)?
-9.383 eV/atom

Repeat the third record exactly.
The following is a PBE-GGA calculation of a geometry-optimized Sr2AcHgO4 structure, from Alexandria via LeMat-Bulk.

Cell lengths 5.152, 5.152, 6.731 Å; angles 112.50, 112.50, 90.00 degrees
Atoms (fractional coordinates):
Ac1 0.937 0.937 0.000
O1 0.719 0.719 0.564
O2 0.155 0.155 0.436
O3 0.437 0.937 0.000
Hg1 0.437 0.437 0.000
O4 0.937 0.437 0.000
Sr1 0.187 0.687 0.500
Sr2 0.687 0.187 0.500

Values from the calculation:
**VASP energy**: -5.788 eV/atom
**Density of states at the Fermi level**: 0.215 states/eV/atom
**Spin magnetization**: 0.00 μB/atom
**Symmetry**: I4/mmm
**Raw formation energy**: -225.5 kJ per mole of atoms

Number 2 is which compound?
Mo5Au